The following is a DFT calculation (GGA-PBE) of crystalline TbTm2Ru2 at its relaxed geometry.

```
TbTm2Ru2
1.0
-2.596 3.097 1.739
-4.312 -2.443 -2.085
2.127 -3.727 9.810
Tm Ru Tb
4 4 2
Direct
0.750 0.717 0.474
0.250 0.283 0.526
0.750 0.221 0.111
0.250 0.779 0.889
0.250 0.319 0.953
0.250 0.894 0.649
0.750 0.106 0.351
0.750 0.681 0.047
0.750 0.211 0.777
0.250 0.789 0.223
```

Output
Magnetic moment ... 0.00 μB per cell
Energy of formation ... -0.253 eV/atom
Symmetry ... P2_1/m (11)
DFT total energy ... -6.6783 eV per atom
N(E_F) ... 3.9 states/eV/f.u.